Here is a relaxed structure of In3NiF from Alexandria via LeMat-Bulk. Energies are from PBE+U.

Cell: 4.8742 4.8742 4.8742 Å, 90.00 90.00 90.00°
Element x y z (fractional)
1 In 0.5000 0.0000 0.0000
2 In 0.0000 0.0000 0.5000
3 In 0.0000 0.5000 0.0000
4 Ni 0.0000 0.0000 0.0000
5 F 0.5000 0.5000 0.5000

Computed properties:
Crystal system ... cubic
Electronic total energy ... -14.10 eV per cell
N(E_F) ... 0.06 states/eV/atom